Entry 1:
First-principles (PBE) data for a relaxed structure of MnMoBr, as listed in Alexandria.

Computed properties:
Energy relative to the lowest polymorph listed for this composition, meV per atom: 140
Magnetization, μB per atom: 0.95
DFT total energy, eV per atom: -6.656
E_form (uncorrected), eV per atom: 0.568
Volume, Å³/cell: 114.0
Mass density, kg/m³: 6723

a = 3.048 Å, b = 3.048 Å, c = 12.267 Å
α = 90.00°, β = 90.00°, γ = 90.00°
Space group I4mm (No. 107)
Inequivalent atoms, fractional coordinates:
Mn 0.000 0.000 0.000 x2
Mo 0.000 0.000 0.373 x2
Br 0.000 0.000 0.727 x2

---

Entry 2:
First-principles (PBE) data for a relaxed structure of Mn2MoBr, as listed in Alexandria.

Computed properties:
Energy relative to the lowest polymorph listed for this composition, meV per atom: 64
Magnetization, μB per atom: 1.65
DFT total energy, eV per atom: -7.311
E_form (uncorrected), eV per atom: 0.400
Volume, Å³/cell: 207.3
Mass density, kg/m³: 6865

a = 3.1449 Å, b = 3.1449 Å, c = 24.2067 Å
α = 90.00°, β = 90.00°, γ = 120.00°
Space group R-3m (No. 166, hexagonal axes)
Inequivalent atoms, fractional coordinates:
Mn 0.0000 0.0000 0.2462 x6
Mo 0.0000 0.0000 0.5000 x3
Br 0.0000 0.0000 0.0000 x3

---

Entry 3:
First-principles (PBE) data for a relaxed structure of Mn2MoBr, as listed in Alexandria.

Computed properties:
Energy relative to the lowest polymorph listed for this composition, meV per atom: 140
Magnetization, μB per atom: 1.22
DFT total energy, eV per atom: -7.234
E_form (uncorrected), eV per atom: 0.476
Volume, Å³/cell: 208.9
Mass density, kg/m³: 6814

a = 3.2165 Å, b = 3.2165 Å, c = 23.3133 Å
α = 90.00°, β = 90.00°, γ = 120.00°
Space group R3m (No. 160, hexagonal axes)
Inequivalent atoms, fractional coordinates:
Mn 0.0000 0.0000 0.0000 x3
Mn 0.0000 0.0000 0.2500 x3
Mo 0.0000 0.0000 0.5230 x3
Br 0.0000 0.0000 0.7538 x3

---

Entry 4:
First-principles (PBE) data for a relaxed structure of MnMoBr2, as listed in Alexandria.

Computed properties:
Energy relative to the lowest polymorph listed for this composition, meV per atom: 507
Magnetization, μB per atom: 0.83
DFT total energy, eV per atom: -5.195
E_form (uncorrected), eV per atom: 0.642
Volume, Å³/cell: 176.0
Mass density, kg/m³: 5862

a = 3.143 Å, b = 5.915 Å, c = 9.470 Å
α = 90.00°, β = 90.00°, γ = 90.00°
Space group Cmmm (No. 65)
Inequivalent atoms, fractional coordinates:
Mn 0.000 0.000 0.000 x2
Mo 0.000 0.000 0.500 x2
Br 0.000 0.500 0.281 x4

---

Entry 5:
First-principles (PBE) data for a relaxed structure of MnMoBr2, as listed in Alexandria.

Computed properties:
Energy relative to the lowest polymorph listed for this composition, meV per atom: 599
Magnetization, μB per atom: 1.32
DFT total energy, eV per atom: -5.103
E_form (uncorrected), eV per atom: 0.734
Volume, Å³/cell: 162.7
Mass density, kg/m³: 6342

a = 6.272 Å, b = 8.714 Å, c = 3.257 Å
α = 90.00°, β = 113.91°, γ = 90.00°
Space group C2/m (No. 12)
Inequivalent atoms, fractional coordinates:
Mn 0.000 0.000 0.000 x2
Mo 0.000 0.500 0.000 x2
Br 0.250 0.250 0.000 x4

---

Entry 6:
First-principles (PBE) data for a relaxed structure of MnMo2Br, as listed in Alexandria.

Computed properties:
Energy relative to the lowest polymorph listed for this composition, meV per atom: 241
Magnetization, μB per atom: 0.00
DFT total energy, eV per atom: -7.549
E_form (uncorrected), eV per atom: 0.577
Volume, Å³/cell: 196.8
Mass density, kg/m³: 8272

a = 3.0262 Å, b = 3.0262 Å, c = 24.8098 Å
α = 90.00°, β = 90.00°, γ = 120.00°
Space group R3m (No. 160, hexagonal axes)
Inequivalent atoms, fractional coordinates:
Mn 0.0000 0.0000 0.0000 x3
Mo 0.0000 0.0000 0.2680 x3
Mo 0.0000 0.0000 0.5100 x3
Br 0.0000 0.0000 0.7613 x3

---

Entry 7:
First-principles (PBE) data for a relaxed structure of MnMo2Br, as listed in Alexandria.

Computed properties:
Energy relative to the lowest polymorph listed for this composition, meV per atom: 874
Magnetization, μB per atom: 0.00
DFT total energy, eV per atom: -6.916
E_form (uncorrected), eV per atom: 1.210
Volume, Å³/cell: 337.0
Mass density, kg/m³: 6440

a = 5.579 Å, b = 5.579 Å, c = 10.826 Å
α = 90.00°, β = 90.00°, γ = 90.00°
Space group I-42d (No. 122)
Inequivalent atoms, fractional coordinates:
Mn 0.000 0.000 0.000 x4
Mo 0.207 0.250 0.125 x8
Br 0.000 0.000 0.500 x4

---

Entry 8:
First-principles (PBE) data for a relaxed structure of MnMoBr2, as listed in Alexandria.

Computed properties:
Energy relative to the lowest polymorph listed for this composition, meV per atom: 26
Magnetization, μB per atom: 0.57
DFT total energy, eV per atom: -5.676
E_form (uncorrected), eV per atom: 0.161
Volume, Å³/cell: 87.3
Mass density, kg/m³: 5908

a = 3.327 Å, b = 3.327 Å, c = 7.890 Å
α = 90.00°, β = 90.00°, γ = 90.00°
Space group P4mm (No. 99)
Inequivalent atoms, fractional coordinates:
Mn 0.000 0.000 0.000 x1
Mo 0.500 0.500 0.162 x1
Br 0.000 0.000 0.392 x1
Br 0.500 0.500 0.826 x1

---

Entry 9:
First-principles (PBE) data for a relaxed structure of MnMoBr2, as listed in Alexandria.

Computed properties:
Energy relative to the lowest polymorph listed for this composition, meV per atom: 381
Magnetization, μB per atom: 1.14
DFT total energy, eV per atom: -5.321
E_form (uncorrected), eV per atom: 0.516
Volume, Å³/cell: 261.7
Mass density, kg/m³: 5914

a = 3.2416 Å, b = 3.2416 Å, c = 28.7558 Å
α = 90.00°, β = 90.00°, γ = 120.00°
Space group R-3m (No. 166, hexagonal axes)
Inequivalent atoms, fractional coordinates:
Mn 0.0000 0.0000 0.0000 x3
Mo 0.0000 0.0000 0.5000 x3
Br 0.0000 0.0000 0.2313 x6

---

Entry 10:
First-principles (PBE) data for a relaxed structure of MnMo2Br, as listed in Alexandria.

Computed properties:
Energy relative to the lowest polymorph listed for this composition, meV per atom: 472
Magnetization, μB per atom: 0.51
DFT total energy, eV per atom: -7.318
E_form (uncorrected), eV per atom: 0.808
Volume, Å³/cell: 244.1
Mass density, kg/m³: 8892

a = 6.249 Å, b = 6.249 Å, c = 6.249 Å
α = 90.00°, β = 90.00°, γ = 90.00°
Space group Fm-3m (No. 225)
Inequivalent atoms, fractional coordinates:
Mn 0.000 0.000 0.000 x4
Mo 0.250 0.250 0.250 x8
Br 0.000 0.000 0.500 x4

---

Entry 11:
First-principles (PBE) data for a relaxed structure of MnMoBr2, as listed in Alexandria.

Computed properties:
Energy relative to the lowest polymorph listed for this composition, meV per atom: 949
Magnetization, μB per atom: 0.00
DFT total energy, eV per atom: -4.753
E_form (uncorrected), eV per atom: 1.084
Volume, Å³/cell: 253.6
Mass density, kg/m³: 8139

a = 6.329 Å, b = 6.329 Å, c = 6.329 Å
α = 90.00°, β = 90.00°, γ = 90.00°
Space group Fm-3m (No. 225)
Inequivalent atoms, fractional coordinates:
Mn 0.000 0.000 0.000 x4
Mo 0.000 0.000 0.500 x4
Br 0.250 0.250 0.250 x8

---

Entry 12:
First-principles (PBE) data for a relaxed structure of Mn2MoBr, as listed in Alexandria.

Computed properties:
Energy relative to the lowest polymorph listed for this composition, meV per atom: 491
Magnetization, μB per atom: 1.41
DFT total energy, eV per atom: -6.884
E_form (uncorrected), eV per atom: 0.827
Volume, Å³/cell: 129.6
Mass density, kg/m³: 7322

a = 3.716 Å, b = 3.716 Å, c = 9.384 Å
α = 90.00°, β = 90.00°, γ = 90.00°
Space group I-4m2 (No. 119)
Inequivalent atoms, fractional coordinates:
Mn 0.000 0.000 0.000 x2
Mn 0.000 0.500 0.250 x2
Mo 0.000 0.500 0.750 x2
Br 0.000 0.000 0.500 x2

---

- volume of number 7 (MnMo2Br)?
  337.0 Å³/cell

---

- energy relative to the lowest polymorph listed for this composition of number 4 (MnMoBr2)?
  507 meV per atom